! SrSmGaTe3 (PBE-GGA, relaxed); values from VASP
! E	-0.15356	hartree per atom
! V	32.51	A^3/atom
&SYSTEM
  ibrav = 0, nat = 12, ntyp = 4
/
ATOMIC_SPECIES
Te 127.60 Te.upf
Ga 69.72 Ga.upf
Sm 150.36 Sm.upf
Sr 87.62 Sr.upf
CELL_PARAMETERS angstrom
2.255 -7.838 0.000
2.255 7.838 0.000
0.000 0.000 11.034
ATOMIC_POSITIONS angstrom
Te 2.255 -2.239 10.491
Te 2.255 -6.127 8.276
Te 2.255 2.239 0.543
Te 2.255 2.239 4.974
Te 2.255 6.127 2.759
Te 2.255 -2.239 6.060
Ga 2.255 0.242 2.759
Ga 2.255 -0.242 8.276
Sm 0.000 0.000 0.000
Sm 0.000 0.000 5.517
Sr 2.255 4.163 8.276
Sr 2.255 -4.163 2.759

=====

! TbSmGa (PBE-GGA, relaxed); values from VASP
! offset from the most stable computed form	0.000	eV per atom
! V	29.46	A^3/atom
&SYSTEM
  ibrav = 0, nat = 3, ntyp = 3
/
ATOMIC_SPECIES
Ga 69.72 Ga.upf
Tb 158.93 Tb.upf
Sm 150.36 Sm.upf
CELL_PARAMETERS angstrom
-4.045 -1.808 2.316
-3.950 2.957 0.806
-4.231 -0.728 -2.562
ATOMIC_POSITIONS angstrom
Ga 0.000 0.000 0.000
Tb -9.170 0.315 0.421
Sm -3.057 0.105 0.140

=====

! Sm5GaTe4 (PBE-GGA, relaxed); values from VASP
! E	-0.19094	hartree per atom
! V	30.55	A^3/atom
&SYSTEM
  ibrav = 0, nat = 10, ntyp = 3
/
ATOMIC_SPECIES
Te 127.60 Te.upf
Sm 150.36 Sm.upf
Ga 69.72 Ga.upf
CELL_PARAMETERS angstrom
-4.948 4.948 3.120
4.948 -4.948 3.120
4.948 4.948 -3.120
ATOMIC_POSITIONS angstrom
Te -0.926 3.006 3.125
Te 5.875 1.943 0.006
Te 1.943 4.022 0.006
Te 3.006 0.926 3.125
Sm 3.999 -2.163 3.126
Sm 0.000 0.000 3.128
Sm 2.163 3.999 3.126
Sm 2.785 0.949 0.006
Sm 0.949 7.112 0.006
Ga 0.000 0.000 0.008

=====

! SmGaTe (PBE-GGA, relaxed); values from VASP
! offset from the most stable computed form	0.062	eV per atom
! V	31.55	A^3/atom
&SYSTEM
  ibrav = 0, nat = 3, ntyp = 3
/
ATOMIC_SPECIES
Ga 69.72 Ga.upf
Sm 150.36 Sm.upf
Te 127.60 Te.upf
CELL_PARAMETERS angstrom
1.766 -3.711 3.046
-1.972 -0.625 4.678
-2.918 -4.075 1.022
ATOMIC_POSITIONS angstrom
Ga -0.781 -2.103 2.187
Sm 0.000 0.000 0.000
Te -2.343 -6.308 6.560

=====

! SmGaTe (PBE-GGA, relaxed); values from VASP
! offset from the most stable computed form	0.000	eV per atom
! V	31.42	A^3/atom
&SYSTEM
  ibrav = 0, nat = 3, ntyp = 3
/
ATOMIC_SPECIES
Ga 69.72 Ga.upf
Te 127.60 Te.upf
Sm 150.36 Sm.upf
CELL_PARAMETERS angstrom
0.505 0.355 5.071
-3.429 2.624 2.730
-3.251 -2.470 3.069
ATOMIC_POSITIONS angstrom
Ga -1.544 0.127 2.718
Te 0.000 0.000 0.000
Sm -4.631 0.381 8.153

=====

! SmThGa (PBE-GGA, relaxed); values from VASP
! offset from the most stable computed form	0.000	eV per atom
! V	30.01	A^3/atom
&SYSTEM
  ibrav = 0, nat = 3, ntyp = 3
/
ATOMIC_SPECIES
Th 232.04 Th.upf
Sm 150.36 Sm.upf
Ga 69.72 Ga.upf
CELL_PARAMETERS angstrom
0.000 3.557 3.557
3.557 0.000 3.557
3.557 3.557 0.000
ATOMIC_POSITIONS angstrom
Th 5.336 5.336 5.336
Sm 1.779 1.779 1.779
Ga 0.000 0.000 0.000